A plane-wave DFT calculation with GGA-PBE was carried out for a relaxed YBeW2 crystal.

Summary:
Its space group is F-43m, No. 216. The total magnetization comes out at 0.1 μB per formula unit. The value obtained for the total energy is -8.55 eV per atom.

Lattice parameters (Å, degrees): 4.5891 4.5891 4.5891 60.00 60.00 60.00
Atoms (fractional coordinates):
Be (0.5000, 0.5000, 0.5000)
W (0.0000, 0.0000, 0.0000)
W (0.7500, 0.7500, 0.7500)
Y (0.2500, 0.2500, 0.2500)